A plane-wave DFT calculation with PBE was carried out for a relaxed K8Li crystal.

Lattice parameters (Å, degrees): 4.9605 11.2891 11.2891 87.23 77.31 77.31
Sites, in units of the cell vectors:
1 K 0.0000 0.6673 0.3327
2 K 0.6514 0.6973 0.0000
3 K 0.6673 0.3327 0.3327
4 K 0.3327 0.6673 0.6673
5 K 0.3486 0.3027 0.0000
6 K 0.3486 0.0000 0.3027
7 K 0.0000 0.3327 0.6673
8 K 0.6514 0.0000 0.6973
9 Li 0.0000 0.0000 0.0000

Summary:
The energy above the lowest structure with this stoichiometry is 0.002 eV/atom. The total energy is -10.229 eV/cell. The total magnetic moment comes out at 0.00 Bohr magnetons per cell. The calculation puts the formation energy at 0.052 eV/atom.